No. 1
{"formula": "La6SnSb5", "functional": "GGA-PBE", "state": "optimized geometry", "dft_energy_ev_per_cell": -67.98, "n_ef_per_ev_fu": 7.63, "space_group": "C2/m, No. 12", "formation_energy_uncorrected_mev_per_atom": -1149.7, "lattice": [[4.0122, -6.9519, 0.0000], [4.0122, 6.9519, 0.0000], [-2.6775, 0.0000, 7.5324]], "species": ["La", "La", "La", "La", "La", "La", "Sn", "Sb", "Sb", "Sb", "Sb", "Sb"], "frac_coords": [[0.0805, 0.4167, 0.7498], [0.2477, 0.2477, 0.2513], [0.4167, 0.0805, 0.7498], [0.5833, 0.9195, 0.2502], [0.7523, 0.7523, 0.7487], [0.9195, 0.5833, 0.2502], [0.5000, 0.5000, 0.0000], [0.0000, 0.0000, 0.5000], [0.1663, 0.8337, 0.0000], [0.3332, 0.6668, 0.5000], [0.6668, 0.3332, 0.5000], [0.8337, 0.1663, 0.0000]]}

=====

No. 2
{"formula": "La8SnSb5", "functional": "GGA-PBE", "state": "optimized geometry", "dft_energy_ev_per_cell": -79.17, "n_ef_per_ev_fu": 17.35, "space_group": "I-4, No. 82", "formation_energy_uncorrected_mev_per_atom": -1080.8, "lattice": [[-4.8608, 4.8608, 4.8633], [4.8608, -4.8608, 4.8633], [4.8608, 4.8608, -4.8633]], "species": ["La", "La", "La", "La", "La", "La", "La", "La", "Sn", "Sb", "Sb", "Sb", "Sb", "Sb"], "frac_coords": [[0.1255, 0.7331, 0.7506], [0.1268, 0.2355, 0.7532], [0.2669, 0.0175, 0.3924], [0.4824, 0.3737, 0.2468], [0.6251, 0.8745, 0.6076], [0.6263, 0.8732, 0.1087], [0.7645, 0.5176, 0.8913], [0.9825, 0.3749, 0.2494], [0.7500, 0.2500, 0.5000], [0.0000, 0.0000, 0.0000], [0.2499, 0.6266, 0.1260], [0.3734, 0.4994, 0.6234], [0.5006, 0.1239, 0.8740], [0.8761, 0.7501, 0.3766]]}

=====

No. 3
{"formula": "LaSnSb2", "functional": "GGA-PBE", "state": "optimized geometry", "dft_energy_ev_per_cell": -19.64, "n_ef_per_ev_fu": 2.40, "space_group": "P4/mmm, No. 123", "formation_energy_uncorrected_mev_per_atom": -616.8, "lattice": [[5.0443, 0.0000, 0.0000], [0.0000, 5.0443, 0.0000], [0.0000, 0.0000, 4.4637]], "species": ["La", "Sn", "Sb", "Sb"], "frac_coords": [[0.0000, 0.0000, 0.0000], [0.5000, 0.5000, 0.0000], [0.0000, 0.5000, 0.5000], [0.5000, 0.0000, 0.5000]]}

=====

No. 4
{"formula": "La5Sn2Sb2", "functional": "GGA-PBE", "state": "optimized geometry", "dft_energy_ev_per_cell": -99.74, "n_ef_per_ev_fu": 8.91, "space_group": "Cmce, No. 64", "formation_energy_uncorrected_mev_per_atom": -998.0, "lattice": [[8.1152, -4.2753, 0.0000], [8.1152, 4.2753, 0.0000], [0.0000, 0.0000, 8.6189]], "species": ["La", "La", "La", "La", "La", "La", "La", "La", "La", "La", "Sn", "Sn", "Sn", "Sn", "Sb", "Sb", "Sb", "Sb"], "frac_coords": [[0.0000, 0.0000, 0.0000], [0.0355, 0.6885, 0.6695], [0.1885, 0.5355, 0.1695], [0.3115, 0.9645, 0.6695], [0.4645, 0.8115, 0.1695], [0.5000, 0.5000, 0.5000], [0.5355, 0.1885, 0.8305], [0.6885, 0.0355, 0.3305], [0.8115, 0.4645, 0.8305], [0.9645, 0.3115, 0.3305], [0.1269, 0.8731, 0.3724], [0.3731, 0.6269, 0.8724], [0.6269, 0.3731, 0.1276], [0.8731, 0.1269, 0.6276], [0.2031, 0.2031, 0.0000], [0.2969, 0.2969, 0.5000], [0.7031, 0.7031, 0.5000], [0.7969, 0.7969, 0.0000]]}

=====

No. 5
{"formula": "La2SnSb3", "functional": "GGA-PBE", "state": "optimized geometry", "dft_energy_ev_per_cell": -60.92, "n_ef_per_ev_fu": 6.52, "space_group": "Immm, No. 71", "formation_energy_uncorrected_mev_per_atom": -705.8, "lattice": [[4.5123, 0.0000, 0.0000], [0.0000, 6.5152, 0.0000], [0.0000, 0.0000, 13.9887]], "species": ["La", "La", "La", "La", "Sn", "Sn", "Sb", "Sb", "Sb", "Sb", "Sb", "Sb"], "frac_coords": [[0.0000, 0.0000, 0.1656], [0.0000, 0.0000, 0.8344], [0.5000, 0.5000, 0.3344], [0.5000, 0.5000, 0.6656], [0.0000, 0.0000, 0.5000], [0.5000, 0.5000, 0.0000], [0.0000, 0.5000, 0.1663], [0.0000, 0.5000, 0.5000], [0.0000, 0.5000, 0.8337], [0.5000, 0.0000, 0.0000], [0.5000, 0.0000, 0.3337], [0.5000, 0.0000, 0.6663]]}

=====

No. 6
{"formula": "La10Sn3Sb3", "functional": "GGA-PBE", "state": "optimized geometry", "dft_energy_ev_per_cell": -87.34, "n_ef_per_ev_fu": 20.21, "space_group": "P-62m, No. 189", "formation_energy_uncorrected_mev_per_atom": -855.3, "lattice": [[9.5954, 0.0000, 0.0000], [-4.7977, 8.3099, 0.0000], [0.0000, 0.0000, 6.7360]], "species": ["La", "La", "La", "La", "La", "La", "La", "La", "La", "La", "Sn", "Sn", "Sn", "Sb", "Sb", "Sb"], "frac_coords": [[0.0000, 0.2543, 0.0000], [0.0000, 0.7439, 0.5000], [0.2543, 0.0000, 0.0000], [0.2561, 0.2561, 0.5000], [0.3333, 0.6667, 0.2447], [0.3333, 0.6667, 0.7553], [0.6667, 0.3333, 0.2447], [0.6667, 0.3333, 0.7553], [0.7439, 0.0000, 0.5000], [0.7457, 0.7457, 0.0000], [0.0000, 0.3848, 0.5000], [0.3848, 0.0000, 0.5000], [0.6152, 0.6152, 0.5000], [0.0000, 0.6169, 0.0000], [0.3831, 0.3831, 0.0000], [0.6169, 0.0000, 0.0000]]}

=====

No. 7
{"formula": "La4SnSb", "functional": "GGA-PBE", "state": "optimized geometry", "dft_energy_ev_per_cell": -63.83, "n_ef_per_ev_fu": 6.85, "space_group": "C2/c, No. 15", "formation_energy_uncorrected_mev_per_atom": -680.4, "lattice": [[4.6439, -7.3017, 0.0000], [4.6439, 7.3017, 0.0000], [-2.8765, 0.0000, 5.8753]], "species": ["La", "La", "La", "La", "La", "La", "La", "La", "Sn", "Sn", "Sb", "Sb"], "frac_coords": [[0.0758, 0.6970, 0.9216], [0.2382, 0.3968, 0.6949], [0.3030, 0.9242, 0.5784], [0.3968, 0.2382, 0.1949], [0.6032, 0.7618, 0.8051], [0.6970, 0.0758, 0.4216], [0.7618, 0.6032, 0.3051], [0.9242, 0.3030, 0.0784], [0.0020, 0.9980, 0.2500], [0.9980, 0.0020, 0.7500], [0.3776, 0.6224, 0.2500], [0.6224, 0.3776, 0.7500]]}

=====

No. 8
{"formula": "La2SnSb2", "functional": "GGA-PBE", "state": "optimized geometry", "dft_energy_ev_per_cell": -51.34, "n_ef_per_ev_fu": 4.22, "e_above_lowest_polymorph_ev_per_atom": 0.168, "space_group": "I4/mmm, No. 139", "formation_energy_uncorrected_mev_per_atom": -713.2, "lattice": [[4.2761, 0.0000, 0.0000], [0.0000, 4.2761, 0.0000], [0.0000, 0.0000, 17.6009]], "species": ["La", "La", "La", "La", "Sn", "Sn", "Sb", "Sb", "Sb", "Sb"], "frac_coords": [[0.0000, 0.0000, 0.1030], [0.0000, 0.0000, 0.8970], [0.5000, 0.5000, 0.3970], [0.5000, 0.5000, 0.6030], [0.0000, 0.0000, 0.5000], [0.5000, 0.5000, 0.0000], [0.0000, 0.5000, 0.2500], [0.0000, 0.5000, 0.7500], [0.5000, 0.0000, 0.2500], [0.5000, 0.0000, 0.7500]]}

=====

No. 9
{"formula": "La4Sn2Sb", "functional": "GGA-PBE", "state": "optimized geometry", "dft_energy_ev_per_cell": -76.32, "n_ef_per_ev_fu": 6.49, "e_above_lowest_polymorph_ev_per_atom": 0.000, "space_group": "I-42d, No. 122", "formation_energy_uncorrected_mev_per_atom": -902.9, "lattice": [[-4.8922, 4.8922, 4.8772], [4.8922, -4.8922, 4.8772], [4.8922, 4.8922, -4.8772]], "species": ["La", "La", "La", "La", "La", "La", "La", "La", "Sn", "Sn", "Sn", "Sn", "Sb", "Sb"], "frac_coords": [[0.1245, 0.2330, 0.7485], [0.1261, 0.7345, 0.7515], [0.2655, 0.0170, 0.3916], [0.4845, 0.3761, 0.2515], [0.6239, 0.8755, 0.1084], [0.6255, 0.8739, 0.6084], [0.7670, 0.5155, 0.8916], [0.9830, 0.3745, 0.2485], [0.2494, 0.6250, 0.1244], [0.3750, 0.4994, 0.6244], [0.5006, 0.1250, 0.8756], [0.8750, 0.7506, 0.3756], [0.0000, 0.0000, 0.0000], [0.7500, 0.2500, 0.5000]]}

=====

No. 10
{"formula": "La4Sn2Sb", "functional": "GGA-PBE", "state": "optimized geometry", "dft_energy_ev_per_cell": -74.28, "n_ef_per_ev_fu": 5.53, "e_above_lowest_polymorph_ev_per_atom": 0.146, "space_group": "Cmmm, No. 65", "formation_energy_uncorrected_mev_per_atom": -757.1, "lattice": [[7.2479, 0.0000, 0.0000], [0.0000, 11.4900, 0.0000], [0.0000, 0.0000, 5.7041]], "species": ["La", "La", "La", "La", "La", "La", "La", "La", "Sn", "Sn", "Sn", "Sn", "Sb", "Sb"], "frac_coords": [[0.2352, 0.0000, 0.0000], [0.2500, 0.2500, 0.5000], [0.2500, 0.7500, 0.5000], [0.2648, 0.5000, 0.0000], [0.7352, 0.5000, 0.0000], [0.7500, 0.2500, 0.5000], [0.7500, 0.7500, 0.5000], [0.7648, 0.0000, 0.0000], [0.0000, 0.2658, 0.0000], [0.0000, 0.7342, 0.0000], [0.5000, 0.2342, 0.0000], [0.5000, 0.7658, 0.0000], [0.0000, 0.0000, 0.5000], [0.5000, 0.5000, 0.5000]]}

=====

No. 11
{"formula": "LaSn3Sb", "functional": "GGA-PBE", "state": "optimized geometry", "dft_energy_ev_per_cell": -17.06, "n_ef_per_ev_fu": 6.05, "e_above_lowest_polymorph_ev_per_atom": 0.494, "space_group": "Pm-3m, No. 221", "formation_energy_uncorrected_mev_per_atom": 799.2, "lattice": [[5.9803, 0.0000, 0.0000], [0.0000, 5.9803, 0.0000], [0.0000, 0.0000, 5.9803]], "species": ["La", "Sn", "Sn", "Sn", "Sb"], "frac_coords": [[0.0000, 0.0000, 0.0000], [0.0000, 0.0000, 0.5000], [0.0000, 0.5000, 0.0000], [0.5000, 0.0000, 0.0000], [0.5000, 0.5000, 0.5000]]}

=====

No. 12
{"formula": "La5SnSb4", "functional": "GGA-PBE", "state": "optimized geometry", "dft_energy_ev_per_cell": -56.40, "n_ef_per_ev_fu": 6.72, "space_group": "I4/m, No. 87", "formation_energy_uncorrected_mev_per_atom": -1127.4, "lattice": [[-5.1755, 5.1755, 3.2692], [5.1755, -5.1755, 3.2692], [5.1755, 5.1755, -3.2692]], "species": ["La", "La", "La", "La", "La", "Sn", "Sb", "Sb", "Sb", "Sb"], "frac_coords": [[0.0000, 0.0000, 0.0000], [0.1972, 0.3983, 0.5955], [0.3983, 0.8028, 0.2011], [0.6017, 0.1972, 0.7989], [0.8028, 0.6017, 0.4045], [0.5000, 0.5000, 0.0000], [0.0999, 0.6998, 0.7997], [0.3002, 0.0999, 0.4000], [0.6998, 0.9001, 0.6000], [0.9001, 0.3002, 0.2003]]}